# Tb5Nd4Er2 | Alexandria | PBE | optimized geometry
# DOS at the Fermi energy, states/eV/f.u.: 15.548
# E above lowest polymorph, meV per atom: 0
# Formation enthalpy at 0 K, meV/atom: 108
data_Tb5Nd4Er2
_chemical_formula_sum 'Tb10 Nd8 Er4'
_space_group_name_H-M_alt 'C 1 2/m 1'
_space_group_IT_number 12
_cell_length_a 19.227
_cell_length_b 5.676
_cell_length_c 6.658
_cell_angle_alpha 90.00
_cell_angle_beta 90.97
_cell_angle_gamma 90.00
loop_
_space_group_symop_operation_xyz
'x,y,z'
'-x,-y,-z'
'-x,y,-z'
'x,-y,z'
'x+1/2,y+1/2,z'
'-x+1/2,-y+1/2,-z'
'-x+1/2,y+1/2,-z'
'x+1/2,-y+1/2,z'
loop_
_atom_site_label
_atom_site_type_symbol
_atom_site_fract_x
_atom_site_fract_y
_atom_site_fract_z
Tb1 Tb 0.000 0.000 0.000
Tb2 Tb 0.130 0.500 0.893
Tb3 Tb 0.208 0.500 0.403
Nd1 Nd 0.019 0.500 0.289
Nd2 Nd 0.194 0.000 0.070
Er1 Er 0.097 0.000 0.553